Record 1
Entry from Alexandria: LuPaCdTc after structural relaxation (PBE).

For the volume, the calculation gives 355.61 Å³/cell. The total magnetization comes out at 0.00 μB/f.u. The value obtained for the formation energy is 0.0193 eV per atom.

The structure belongs to space group F-43m (No. 216); the cell edges are 7.085, 7.085 and 7.085 Å and the angles 90.00°, 90.00° and 90.00°. The inequivalent atoms are Lu at (0.000, 0.000, 0.000), Pa at (0.000, 0.000, 0.500), Cd at (0.250, 0.250, 0.250) and Tc at (0.250, 0.250, 0.750).

=====

Record 2
Entry from Alexandria: NaAg2Pt2 after structural relaxation (PBE).

For the volume, the calculation gives 199.19 Å³/cell. The total magnetization comes out at 0.00 μB/f.u. The value obtained for the formation energy is 0.1324 eV per atom. For the distance to the lowest polymorph of the same formula, the calculation gives 140 meV per atom.

The structure belongs to space group I4/mmm (No. 139); the cell edges are 3.798, 3.798 and 13.808 Å and the angles 90.00°, 90.00° and 90.00°. The inequivalent atoms are Na at (0.000, 0.000, 0.000), Ag at (0.000, 0.000, 0.400) and Pt at (0.000, 0.500, 0.250).

=====

Record 3
Entry from Alexandria: GaHgGe3 after structural relaxation (PBE).

For the volume, the calculation gives 123.58 Å³/cell. The total magnetization comes out at 0.00 μB/f.u. The value obtained for the formation energy is 0.5909 eV per atom. For the distance to the lowest polymorph of the same formula, the calculation gives 0 meV per atom.

The structure belongs to space group Pm-3m (No. 221); the cell edges are 4.981, 4.981 and 4.981 Å and the angles 90.00°, 90.00° and 90.00°. The inequivalent atoms are Ga at (0.000, 0.000, 0.000), Hg at (0.500, 0.500, 0.500) and Ge at (0.000, 0.000, 0.500).

=====

Record 4
Entry from Alexandria: Li3Y3USe8 after structural relaxation (PBE).

For the volume, the calculation gives 1130.77 Å³/cell. The total magnetization comes out at 2.00 μB/f.u. The formation energy (no corrections) comes out at -1.57 eV per atom.

The structure belongs to space group R-3m (No. 166, hexagonal axes); the cell edges are 8.1823, 8.1823 and 19.5032 Å and the angles 90.00°, 90.00° and 120.00°. The inequivalent atoms are Li at (0.0000, 0.5000, 0.0000), Y at (0.0000, 0.5000, 0.5000), U at (0.0000, 0.0000, 0.5000), Se at (0.0000, 0.0000, 0.2512) and Se at (0.0042, 0.5021, 0.2494).